1.
4
Lattice="-2.545 -1.047 3.860 2.934 -0.631 3.670 -0.377 3.517 -3.159" Properties=species:S:1:pos:R:3 comment="MoOs2Rh, relaxed, DFT GGA-PBE" m_tot_mub_per_fu=0.00 e_form_ev_per_atom=-0.013 de_polymorph_kj_per_mol_atoms=3.4 space_group=I-4m2 crystal_system=tetragonal pbc="T T T"
Mo 1.376 1.024 2.138
Rh 0.194 -0.839 3.765
Os -1.364 0.816 2.233
Os 0.000 0.000 0.000

***

2.
4
Lattice="-1.345 -0.477 -5.049 -4.814 -1.934 -0.785 2.014 3.842 2.951" Properties=species:S:1:pos:R:3 comment="AlFeHg2, relaxed, DFT GGA-PBE" m_tot_mub_per_fu=1.94 e_form_ev_per_atom=0.378 space_group=I-4m2 crystal_system=tetragonal pbc="T T T"
Hg 0.000 0.000 0.000
Hg -2.939 0.351 -0.375
Fe -1.205 1.079 -2.507
Al -3.079 -1.206 -2.917